Record 1
VASP calculation (GGA-PBEsol) on crystalline LiBSCl2 at its relaxed geometry.

Cell: 4.4385 4.5970 4.5970 Å, 90.00 90.00 90.00°
Closest atoms and distances in Å follow each position.
Atoms (fractional coordinates):
Cl  0.0000  0.5000  0.0000  2 Li 2.30
Cl  0.0000  0.0000  0.5000  2 Li 2.30
B  0.5000  0.5000  0.5000  8 Cl 3.20, 4 S 3.25
S  0.5000  0.0000  0.0000  2 Li 2.22
Li  0.0000  0.0000  0.0000  2 S 2.22, 4 Cl 2.30

Calculated values
Fermi-level density of states: 4.2 states/eV/f.u.
formation energy from raw total energies: 0.737 eV per atom
uncorrected energy: -2.740 eV/atom

=====

Record 2
VASP calculation (GGA-PBEsol) on crystalline MgB2Cl at its relaxed geometry.

Cell: 5.2771 5.2771 5.2771 Å, 99.44 114.71 114.71°
Closest atoms and distances in Å follow each position.
Atoms (fractional coordinates):
B  0.5536  0.8750  0.9286  2 Cl 2.00
B  0.0536  0.6786  0.1250  2 Cl 2.00
B  0.9464  0.0714  0.6250  2 Cl 2.00
B  0.4464  0.3750  0.3214  2 Cl 2.00
Mg  0.0000  0.5000  0.5000  4 B 2.40
Mg  0.5000  0.2500  0.7500  4 B 2.40
Cl  0.0000  0.0000  0.0000  4 B 2.00
Cl  0.5000  0.7500  0.2500  4 B 2.00

Calculated values
Fermi-level density of states: 2.6 states/eV/f.u.
formation energy from raw total energies: 1.386 eV per atom
uncorrected energy: -3.054 eV/atom

=====

Record 3
VASP calculation (GGA-PBEsol) on crystalline MgB2NCl at its relaxed geometry.

Cell: 4.5814 4.5814 4.7873 Å, 90.00 90.00 90.00°
Closest atoms and distances in Å follow each position.
Atoms (fractional coordinates):
N  0.5000  0.5000  0.5000  4 Cl 3.24, 8 B 3.31
Mg  0.0000  0.0000  0.0000  4 B 2.29, 2 Cl 2.39
Cl  0.0000  0.0000  0.5000  2 Mg 2.39
B  0.0000  0.5000  0.0000  2 Mg 2.29
B  0.5000  0.0000  0.0000  2 Mg 2.29

Calculated values
Fermi-level density of states: 2.0 states/eV/f.u.
formation energy from raw total energies: 2.408 eV per atom
uncorrected energy: -2.849 eV/atom

=====

Record 4
VASP calculation (GGA-PBEsol) on crystalline Mg3B7ClO13 at its relaxed geometry.

Cell: 8.5606 8.5655 12.1208 Å, 90.00 90.00 90.00°
Closest atoms and distances in Å follow each position.
Atoms (fractional coordinates):
O  0.8252  0.8599  0.1751  2 B 1.45-1.46
O  0.4097  0.4505  0.0949  2 B 1.45-1.46
O  0.8368  0.0329  0.0214  2 B 1.46-1.47
O  0.9724  0.3320  0.9787  2 B 1.45-1.46
O  0.4097  0.0495  0.5949  2 B 1.45-1.46
O  0.8252  0.6401  0.6751  2 B 1.45-1.46
O  0.1252  0.3276  0.8148  2 B 1.45-1.46
O  0.1748  0.1401  0.6751  2 B 1.45-1.46
O  0.0276  0.6680  0.4787  2 B 1.45-1.46
O  0.1252  0.1724  0.3148  2 B 1.45-1.46
O  0.6704  0.4574  0.0245  2 B 1.38-1.50
O  0.6353  0.6766  0.8162  2 B 1.45-1.47
O  0.3300  0.3824  0.6852  2 B 1.38-1.50
O  0.2503  0.2335  0.4897  3 B 1.56-1.57
O  0.9113  0.5378  0.1046  2 B 1.38-1.50
O  0.3647  0.3234  0.3162  2 B 1.45-1.47
O  0.5903  0.9505  0.0949  2 B 1.45-1.46
O  0.6353  0.8234  0.3162  2 B 1.45-1.47
O  0.3300  0.1176  0.1852  2 B 1.38-1.50
O  0.6704  0.0426  0.5245  2 B 1.38-1.50
O  0.0276  0.8320  0.9787  2 B 1.45-1.46
O  0.7497  0.7335  0.4897  3 B 1.56-1.57
O  0.5397  0.9101  0.9007  2 B 1.46
O  0.4602  0.0899  0.4007  2 B 1.46
O  0.5199  0.3361  0.4799  2 B 1.45-1.46
O  0.3647  0.1766  0.8162  2 B 1.45-1.47
O  0.3296  0.9574  0.0245  2 B 1.38-1.50
O  0.8368  0.4671  0.5214  2 B 1.46-1.47
O  0.8748  0.8276  0.8148  2 B 1.45-1.46
O  0.6700  0.6176  0.1852  2 B 1.38-1.50
O  0.8748  0.6724  0.3148  2 B 1.45-1.46
O  0.4801  0.8361  0.4799  2 B 1.45-1.46
O  0.0572  0.4114  0.4052  2 B 1.46-1.47
O  0.1748  0.3599  0.1751  2 B 1.45-1.46
O  0.9113  0.9622  0.6046  2 B 1.38-1.50
O  0.0572  0.0886  0.9052  2 B 1.46-1.47
O  0.9428  0.5886  0.9052  2 B 1.46-1.47
O  0.3296  0.5426  0.5245  2 B 1.38-1.50
O  0.5199  0.1639  0.9799  2 B 1.45-1.46
O  0.9428  0.9114  0.4052  2 B 1.46-1.47
O  0.0887  0.0378  0.1046  2 B 1.38-1.50
O  0.0887  0.4622  0.6046  2 B 1.38-1.50
O  0.5903  0.5495  0.5949  2 B 1.45-1.46
O  0.5397  0.5899  0.4007  2 B 1.46
O  0.1632  0.5329  0.0214  2 B 1.46-1.47
O  0.4602  0.4101  0.9007  2 B 1.46
O  0.7497  0.7665  0.9897  3 B 1.56-1.57
O  0.6700  0.8824  0.6852  2 B 1.38-1.50
O  0.4801  0.6639  0.9799  2 B 1.45-1.46
O  0.2503  0.2665  0.9897  3 B 1.56-1.57
O  0.9724  0.1680  0.4787  2 B 1.45-1.46
O  0.1632  0.9671  0.5214  2 B 1.46-1.47
Cl  0.7498  0.2231  0.2627  3 Mg 2.58-2.59
Cl  0.2502  0.7769  0.7627  3 Mg 2.58-2.59
Cl  0.7498  0.2769  0.7627  3 Mg 2.58-2.59
Cl  0.2502  0.7231  0.2627  3 Mg 2.58-2.59
B  0.7499  0.5946  0.5727  4 O 1.45-1.56
B  0.0965  0.2476  0.4205  4 O 1.45-1.57
B  0.0022  0.9981  0.0007  4 O 1.46-1.50
B  0.4031  0.2523  0.9199  4 O 1.45-1.56
B  0.7526  0.7560  0.7477  4 O 1.46-1.50
B  0.0965  0.2524  0.9205  4 O 1.45-1.57
B  0.5969  0.7477  0.4199  4 O 1.45-1.56
B  0.2501  0.4054  0.0727  4 O 1.45-1.56
B  0.9978  0.4981  0.0007  4 O 1.46-1.50
B  0.5033  0.4974  0.9998  4 O 1.46-1.50
B  0.2501  0.0946  0.5727  4 O 1.45-1.56
B  0.5033  0.0026  0.4998  4 O 1.46-1.50
B  0.9035  0.7524  0.9205  4 O 1.45-1.57
B  0.7499  0.9054  0.0727  4 O 1.45-1.56
B  0.9035  0.7476  0.4205  4 O 1.45-1.57
B  0.4967  0.5026  0.4998  4 O 1.46-1.50
B  0.7526  0.7440  0.2477  4 O 1.46-1.50
B  0.5969  0.7523  0.9199  4 O 1.45-1.56
B  0.0022  0.5019  0.5007  4 O 1.46-1.50
B  0.7507  0.9527  0.6000  3 O 1.38
B  0.9978  0.0019  0.5007  4 O 1.46-1.50
B  0.2474  0.2440  0.2477  4 O 1.46-1.50
B  0.2474  0.2560  0.7477  4 O 1.46-1.50
B  0.4967  0.9974  0.9998  4 O 1.46-1.50
B  0.2493  0.4527  0.6000  3 O 1.38
B  0.4031  0.2477  0.4199  4 O 1.45-1.56
B  0.2493  0.0473  0.1000  3 O 1.38
B  0.7507  0.5473  0.1000  3 O 1.38
Mg  0.5304  0.4831  0.7505  4 O 2.02-2.08
Mg  0.9691  0.0165  0.2531  4 O 2.03-2.08
Mg  0.0309  0.5165  0.2531  4 O 2.03-2.08
Mg  0.4696  0.9831  0.7505  4 O 2.02-2.08
Mg  0.5304  0.0169  0.2505  4 O 2.02-2.08
Mg  0.7487  0.2585  0.4747  4 O 2.02-2.07
Mg  0.7487  0.2415  0.9747  4 O 2.02-2.07
Mg  0.2513  0.7415  0.9747  4 O 2.02-2.07
Mg  0.2513  0.7585  0.4747  4 O 2.02-2.07
Mg  0.4696  0.5169  0.2505  4 O 2.02-2.08
Mg  0.0309  0.9835  0.7531  4 O 2.03-2.08
Mg  0.9691  0.4835  0.7531  4 O 2.03-2.08

Calculated values
Fermi-level density of states: 0.0 states/eV/f.u.
formation energy from raw total energies: -2.572 eV per atom
uncorrected energy: -7.760 eV/atom

=====

Record 5
VASP calculation (GGA-PBEsol) on crystalline Mg3B7ClO13 at its relaxed geometry.

Cell: 8.5365 8.5365 8.5365 Å, 60.00 60.00 60.00°
Closest atoms and distances in Å follow each position.
Atoms (fractional coordinates):
Mg  0.2500  0.7500  0.2500  4 O 2.03
Mg  0.7500  0.2500  0.7500  4 O 2.03
Mg  0.2500  0.2500  0.7500  4 O 2.03
Mg  0.2500  0.7500  0.7500  4 O 2.03
Mg  0.7500  0.2500  0.2500  4 O 2.03
Mg  0.7500  0.7500  0.2500  4 O 2.03
O  0.3130  0.9909  0.1477  2 B 1.43-1.47
O  0.6477  0.4909  0.8130  2 B 1.43-1.47
O  0.1477  0.5484  0.3130  2 B 1.43-1.47
O  0.2500  0.2500  0.2500  4 B 1.68
O  0.6477  0.8130  0.0484  2 B 1.43-1.47
O  0.9909  0.1477  0.3130  2 B 1.43-1.47
O  0.8130  0.6477  0.4909  2 B 1.43-1.47
O  0.5484  0.9909  0.3130  2 B 1.43-1.47
O  0.0484  0.4909  0.6477  2 B 1.43-1.47
O  0.1477  0.3130  0.9909  2 B 1.43-1.47
O  0.3130  0.1477  0.5484  2 B 1.43-1.47
O  0.8130  0.0484  0.6477  2 B 1.43-1.47
O  0.1477  0.9909  0.5484  2 B 1.43-1.47
O  0.4909  0.6477  0.0484  2 B 1.43-1.47
O  0.5484  0.3130  0.1477  2 B 1.43-1.47
O  0.9909  0.3130  0.5484  2 B 1.43-1.47
O  0.9909  0.5484  0.1477  2 B 1.43-1.47
O  0.5484  0.1477  0.9909  2 B 1.43-1.47
O  0.7500  0.7500  0.7500  4 B 1.68
O  0.6477  0.0484  0.4909  2 B 1.43-1.47
O  0.4909  0.0484  0.8130  2 B 1.43-1.47
O  0.4909  0.8130  0.6477  2 B 1.43-1.47
O  0.0484  0.8130  0.4909  2 B 1.43-1.47
O  0.3130  0.5484  0.9909  2 B 1.43-1.47
O  0.8130  0.4909  0.0484  2 B 1.43-1.47
O  0.0484  0.6477  0.8130  2 B 1.43-1.47
B  0.0000  0.0000  0.5000  4 O 1.47
B  0.5000  0.0000  0.0000  4 O 1.47
B  0.4904  0.1699  0.1699  3 O 1.43
B  0.6699  0.6699  0.9904  3 O 1.43
B  0.0000  0.5000  0.5000  4 O 1.47
B  0.1699  0.1699  0.4904  3 O 1.43
B  0.0000  0.5000  0.0000  4 O 1.47
B  0.5000  0.5000  0.0000  4 O 1.47
B  0.9904  0.6699  0.6699  3 O 1.43
B  0.6699  0.6699  0.6699  3 O 1.43
B  0.1699  0.1699  0.1699  3 O 1.43
B  0.6699  0.9904  0.6699  3 O 1.43
B  0.1699  0.4904  0.1699  3 O 1.43
B  0.5000  0.0000  0.5000  4 O 1.47
Cl  0.0000  0.0000  0.0000  6 Mg 3.02
Cl  0.5000  0.5000  0.5000  6 Mg 3.02

Calculated values
Fermi-level density of states: 0.0 states/eV/f.u.
formation energy from raw total energies: -2.566 eV per atom
uncorrected energy: -7.754 eV/atom

=====

Record 6
VASP calculation (GGA-PBEsol) on crystalline MgBP2Cl at its relaxed geometry.

Cell: 4.7292 4.7885 4.7885 Å, 90.00 90.00 90.00°
Closest atoms and distances in Å follow each position.
Atoms (fractional coordinates):
P  0.0000  0.0000  0.5000  2 Mg 2.39
P  0.0000  0.5000  0.0000  2 Mg 2.39
B  0.5000  0.5000  0.5000  8 P 3.37, 4 Cl 3.39
Mg  0.0000  0.0000  0.0000  2 Cl 2.36, 4 P 2.39
Cl  0.5000  0.0000  0.0000  2 Mg 2.36

Calculated values
Fermi-level density of states: 4.2 states/eV/f.u.
formation energy from raw total energies: 1.400 eV per atom
uncorrected energy: -3.065 eV/atom

=====

Record 7
VASP calculation (GGA-PBEsol) on crystalline YMgB2Cl at its relaxed geometry.

Cell: 4.4415 4.4415 4.7719 Å, 90.00 90.00 90.00°
Closest atoms and distances in Å follow each position.
Atoms (fractional coordinates):
Mg  0.5000  0.5000  0.5000  4 Y 3.14, 8 B 3.26
Cl  0.0000  0.0000  0.0000  4 B 2.22, 2 Y 2.39
B  0.5000  0.0000  0.0000  2 Cl 2.22
B  0.0000  0.5000  0.0000  2 Cl 2.22
Y  0.0000  0.0000  0.5000  2 Cl 2.39

Calculated values
Fermi-level density of states: 1.4 states/eV/f.u.
formation energy from raw total energies: 1.186 eV per atom
uncorrected energy: -3.730 eV/atom

=====

Record 8
VASP calculation (GGA-PBEsol) on crystalline MnBPCl2 at its relaxed geometry.

Cell: 4.5112 4.5112 4.6922 Å, 90.00 90.00 90.00°
Closest atoms and distances in Å follow each position.
Atoms (fractional coordinates):
Mn  0.0000  0.0000  0.0000  4 Cl 2.26, 2 P 2.35
Cl  0.5000  0.0000  0.0000  2 Mn 2.26
Cl  0.0000  0.5000  0.0000  2 Mn 2.26
P  0.0000  0.0000  0.5000  2 Mn 2.35
B  0.5000  0.5000  0.5000  4 P 3.19, 8 Cl 3.25

Calculated values
Fermi-level density of states: 3.2 states/eV/f.u.
formation energy from raw total energies: 0.869 eV per atom
uncorrected energy: -4.448 eV/atom